i) Compound: ErTiNi2
Source: the Alexandria database
Functional: GGA-PBE
Structure: optimized geometry

The space group is Fm-3m (No. 225) and the conventional cell measures 6.362, 6.362 and 6.362 Å, with angles of 90.00, 90.00 and 90.00 degrees. The inequivalent atoms are Er at (0.000, 0.000, 0.000), Ti at (0.000, 0.000, 0.500) and Ni at (0.250, 0.250, 0.250).

The total magnetization is 0.0 Bohr magnetons per cell.



ii) Compound: ErTiNi2
Source: the Alexandria database
Functional: GGA-PBE
Structure: optimized geometry

The space group is R-3m (No. 166, hexagonal axes) and the conventional cell measures 4.1882, 4.1882 and 13.6088 Å, with angles of 90.00, 90.00 and 120.00 degrees. The inequivalent atoms are Er at (0.0000, 0.0000, 0.0000), Ti at (0.0000, 0.0000, 0.5000) and Ni at (0.0000, 0.0000, 0.2065).

The total magnetization is 0.0 Bohr magnetons per cell.



Least stable = i)



i) Compound: Er3TlNi
Source: the Alexandria database
Functional: GGA-PBE
Structure: optimized geometry

The space group is Cmmm (No. 65) and the conventional cell measures 9.928, 14.430 and 3.775 Å, with angles of 90.00, 90.00 and 90.00 degrees. The inequivalent atoms are Er at (0.000, 0.187, 0.000), Er at (0.204, 0.377, 0.500), Tl at (0.000, 0.000, 0.500), Tl at (0.000, 0.500, 0.000) and Ni at (0.250, 0.250, 0.000).

The total magnetization is 0.0 Bohr magnetons per cell.



ii) Compound: Er3TlNi
Source: the Alexandria database
Functional: GGA-PBE
Structure: optimized geometry

The space group is Pm-3m (No. 221) and the conventional cell measures 5.153, 5.153 and 5.153 Å, with angles of 90.00, 90.00 and 90.00 degrees. The inequivalent atoms are Er at (0.000, 0.000, 0.500), Tl at (0.500, 0.500, 0.500) and Ni at (0.000, 0.000, 0.000).

The total magnetization is 0.0 Bohr magnetons per cell.



Least stable = ii)



i) Compound: ErTmTlNi
Source: the Alexandria database
Functional: GGA-PBE
Structure: optimized geometry

The space group is F-43m (No. 216) and the conventional cell measures 7.150, 7.150 and 7.150 Å, with angles of 90.00, 90.00 and 90.00 degrees. The inequivalent atoms are Er at (0.000, 0.000, 0.000), Tm at (0.000, 0.000, 0.500), Tl at (0.250, 0.250, 0.750) and Ni at (0.250, 0.250, 0.250).

The total magnetization is 0.0 Bohr magnetons per cell.



ii) Compound: ErTmTlNi
Source: the Alexandria database
Functional: GGA-PBE
Structure: optimized geometry

The space group is P4mm (No. 99) and the conventional cell measures 3.431, 3.431 and 7.690 Å, with angles of 90.00, 90.00 and 90.00 degrees. The inequivalent atoms are Er at (0.000, 0.000, 0.000), Tm at (0.000, 0.000, 0.582), Tl at (0.500, 0.500, 0.292) and Ni at (0.500, 0.500, 0.788).

The total magnetization is 0.0 Bohr magnetons per cell.



Least stable = i)



i) Compound: Er3TmNi
Source: the Alexandria database
Functional: GGA-PBE
Structure: optimized geometry

The space group is Cm (No. 8) and the conventional cell measures 11.947, 3.568 and 13.638 Å, with angles of 90.00, 115.42 and 90.00 degrees. The inequivalent atoms are Er at (0.000, 0.000, 0.000), Er at (0.045, 0.000, 0.598), Er at (0.215, 0.000, 0.875), Er at (0.277, 0.500, 0.116), Er at (0.350, 0.000, 0.357), Er at (0.425, 0.000, 0.758), Tm at (0.062, 0.500, 0.241), Tm at (0.231, 0.500, 0.516), Ni at (0.047, 0.000, 0.389) and Ni at (0.230, 0.500, 0.725).

The total magnetization is 0.0 Bohr magnetons per cell.



ii) Compound: Er3TmNi
Source: the Alexandria database
Functional: GGA-PBE
Structure: optimized geometry

The space group is Pm-3m (No. 221) and the conventional cell measures 5.247, 5.247 and 5.247 Å, with angles of 90.00, 90.00 and 90.00 degrees. The inequivalent atoms are Er at (0.000, 0.000, 0.500), Tm at (0.500, 0.500, 0.500) and Ni at (0.000, 0.000, 0.000).

The total magnetization is 0.0 Bohr magnetons per cell.



Least stable = ii)